VASP calculation (PBE) on a relaxed La2TbGa crystal.

Cell: 6.5174 6.5174 9.6036 Å, 90.00 90.00 142.18°
With the nearest neighbours (Å) after each atom.
Fractional coordinates of all 8 atoms:
La1 0.1387 0.8613 0.5592  3 Ga 3.17-3.22
La2 0.1387 0.8613 0.9408  3 Ga 3.17-3.22
La3 0.8613 0.1387 0.0592  3 Ga 3.17-3.22
La4 0.8613 0.1387 0.4408  3 Ga 3.17-3.22
Tb1 0.4337 0.5663 0.7500  2 Ga 3.01
Tb2 0.5663 0.4337 0.2500  2 Ga 3.01
Ga1 0.2397 0.7603 0.2500  2 Tb 3.01, 6 La 3.17-3.22
Ga2 0.7603 0.2397 0.7500  2 Tb 3.01, 6 La 3.17-3.22

Summary:
As for the total energy: -37.08 eV/cell. The size of the total moment is 0.002 μB per formula unit. As for the formation energy: -0.2572 eV/atom. The excess energy over the best structure of this formula in the dataset is 0.00 eV/f.u.